No. 1
# Tb8Ag2Os

A relaxed Tb8Ag2Os crystal (PBE-GGA, Alexandria).

Computed properties:
As for the spin magnetization: 0.0 μB per formula unit. The symmetry is C2/m, No. 12.

Geometry as extended XYZ:
```
11
Lattice="8.7393 -2.6104 0.0000 8.7393 2.6104 0.0000 -2.0991 0.0000 6.5665" Properties=species:S:1:pos:R:3 pbc="T T T"
Tb -0.1467 0.0000 1.9404
Tb 1.7869 0.0000 5.2940
Tb 4.8337 0.0000 3.4866
Tb 7.0226 0.0000 0.4574
Tb 8.3569 0.0000 6.1090
Tb 10.5458 0.0000 3.0799
Tb 13.5926 0.0000 1.2724
Tb 15.5262 0.0000 4.6260
Ag 2.7547 0.0000 1.4004
Ag 12.6248 0.0000 5.1661
Os 7.6897 0.0000 3.2832
```

---

No. 2
# Cr4PRh

A relaxed Cr4PRh crystal (PBE-GGA, Alexandria).

Computed properties:
As for the spin magnetization: 0.0 μB per formula unit. The symmetry is F-43m, No. 216.

Geometry as extended XYZ:
```
6
Lattice="0.0000 3.3321 3.3321 3.3321 0.0000 3.3321 3.3321 3.3321 0.0000" Properties=species:S:1:pos:R:3 pbc="T T T"
Cr 0.8202 0.8202 0.8202
Cr 2.5118 2.5118 0.8202
Cr 2.5118 0.8202 2.5118
Cr 0.8202 2.5118 2.5118
P 4.9981 4.9981 4.9981
Rh 3.3321 3.3321 3.3321
```

---

No. 3
# Li3Nd2Sb3

A relaxed Li3Nd2Sb3 crystal (PBE-GGA, Alexandria).

Computed properties:
As for the spin magnetization: 0.0 μB per formula unit. The symmetry is P4/mmm, No. 123. As for the formation energy from raw total energies: 0.806 eV per formula unit.

Geometry as extended XYZ:
```
8
Lattice="3.2199 0.0000 0.0000 0.0000 3.2199 0.0000 0.0000 0.0000 23.4721" Properties=species:S:1:pos:R:3 pbc="T T T"
Li 0.0000 0.0000 0.0000
Li 0.0000 0.0000 8.9886
Li 0.0000 0.0000 14.4835
Nd 0.0000 0.0000 5.7480
Nd 0.0000 0.0000 17.7240
Sb 0.0000 0.0000 2.6578
Sb 0.0000 0.0000 11.7360
Sb 0.0000 0.0000 20.8143
```

---

No. 4
# RbTl2Bi2

A relaxed RbTl2Bi2 crystal (PBE-GGA, Alexandria).

Computed properties:
As for the spin magnetization: 0.0 μB per formula unit. The symmetry is C2/m, No. 12. The distance to the lowest polymorph of the same formula is 4.9 kJ per mole of atoms.

Geometry as extended XYZ:
```
5
Lattice="6.9973 -2.6408 0.0000 6.9973 2.6408 0.0000 -2.4092 0.0000 5.3196" Properties=species:S:1:pos:R:3 pbc="T T T"
Rb 0.0000 0.0000 0.0000
Tl 4.2078 0.0000 2.4806
Tl 7.3776 0.0000 2.8390
Bi 1.5410 0.0000 4.4536
Bi 10.0444 0.0000 0.8660
```

---

No. 5
# Pr4CdNi

A relaxed Pr4CdNi crystal (PBE-GGA, Alexandria).

Computed properties:
As for the spin magnetization: 0.0 μB per formula unit. The symmetry is C2/c, No. 15. The distance to the lowest polymorph of the same formula is 8.5 kJ per mole of atoms.

Geometry as extended XYZ:
```
12
Lattice="4.4863 -7.0503 0.0000 4.4863 7.0503 0.0000 -2.5241 0.0000 5.6477" Properties=species:S:1:pos:R:3 pbc="T T T"
Pr 1.1250 4.4137 5.2212
Pr 0.7480 1.0203 3.6654
Pr 4.0614 4.4137 3.2504
Pr 2.0100 -1.0203 0.8415
Pr 4.4385 1.0203 4.8062
Pr 2.3871 -4.4137 2.3973
Pr 5.7005 -1.0203 1.9824
Pr 5.3235 -4.4137 0.4265
Cd 3.8553 1.6498 1.4119
Cd 2.5932 -1.6498 4.2358
Ni 3.8553 -7.0468 1.4119
Ni 2.5932 7.0468 4.2358
```

---

No. 6
# AcY2NbN4

A relaxed AcY2NbN4 crystal (PBE-GGA, Alexandria).

Computed properties:
As for the spin magnetization: 0.0 μB per formula unit. The symmetry is Cmcm, No. 63. As for the formation energy from raw total energies: -9.849 eV per formula unit.

Geometry as extended XYZ:
```
16
Lattice="1.7488 -6.1461 0.0000 1.7488 6.1461 0.0000 0.0000 0.0000 12.1772" Properties=species:S:1:pos:R:3 pbc="T T T"
Ac 1.7488 5.0443 9.1329
Ac 1.7488 -5.0443 3.0443
Y 1.7488 1.5810 6.5433
Y 1.7488 1.5810 11.7225
Y 1.7488 -1.5810 0.4547
Y 1.7488 -1.5810 5.6339
Nb 1.7488 4.0423 3.0443
Nb 1.7488 -4.0423 9.1329
N 0.0000 0.0000 0.0000
N 0.0000 0.0000 6.0886
N 1.7488 2.9413 1.4283
N 1.7488 2.9413 4.6603
N 1.7488 0.8615 9.1329
N 1.7488 -0.8615 3.0443
N 1.7488 -2.9413 7.5169
N 1.7488 -2.9413 10.7489
```

---

No. 7
# Ca3NpBr2O6

A relaxed Ca3NpBr2O6 crystal (PBE-GGA, Alexandria).

Computed properties:
As for the spin magnetization: 1.1 μB per formula unit. The symmetry is C2/m, No. 12. As for the formation energy from raw total energies: -27.872 eV per formula unit.

Geometry as extended XYZ:
```
12
Lattice="6.1129 -3.4053 0.0000 6.1129 3.4053 0.0000 -0.8018 0.0000 5.6630" Properties=species:S:1:pos:R:3 pbc="T T T"
Ca 0.0000 0.0000 0.0000
Ca 2.6556 1.7027 2.8315
Ca 2.6556 -1.7027 2.8315
Np 5.7120 0.0000 2.8315
Br 1.8877 0.0000 4.9422
Br 9.5362 0.0000 0.7208
O 4.8974 1.5569 3.9249
O 6.5266 1.5569 1.7381
O 3.9141 0.0000 1.9949
O 7.5099 0.0000 3.6681
O 4.8974 -1.5569 3.9249
O 6.5266 -1.5569 1.7381
```

---

No. 8
# BiRu

A relaxed BiRu crystal (PBE-GGA, Alexandria).

Computed properties:
As for the spin magnetization: 0.0 μB per formula unit. The symmetry is Amm2, No. 38.

Geometry as extended XYZ:
```
6
Lattice="4.3232 0.0000 0.0000 0.0000 4.6755 3.1709 0.0000 -4.6755 3.1709" Properties=species:S:1:pos:R:3 pbc="T T T"
Bi 0.0000 0.0000 0.0000
Bi 2.1616 -1.6644 2.5462
Bi 2.1616 1.6644 2.5462
Ru 0.0000 -2.0772 4.3292
Ru 0.0000 2.0772 4.3292
Ru 2.1616 0.0000 4.6803
```

---

The following calculated volume values (in A^3/atom) correspond, in order, to the records above: 27.24 12.33 30.42 39.32 29.77 16.36 19.65 21.36.
The following raw total energy values (in eV per cell) correspond, in order, to the records above: -55.765 -49.612 -26.838 -14.072 -53.352 -140.514 -79.913 -36.999.